Density functional theory data (PBE) for an optimized crystal structure of Er2VTcN5.

Calculated values
- E_form (uncorrected) (eV per atom) = -0.978
- magnetization (μB/f.u.) = 0.0
- density of states at the Fermi level (states/eV per atom) = 0.478
- space group = No. 36
- E_tot (hartree per atom) = -0.323

Cell lengths 6.617, 6.617, 9.774 Å; angles 90.00, 90.00, 151.30 degrees
Fractional positions:
Er 0.108 0.892 0.500
Er 0.145 0.855 0.093
Er 0.855 0.145 0.593
Er 0.892 0.108 0.000
V 0.475 0.525 0.267
V 0.525 0.475 0.767
Tc 0.223 0.777 0.817
Tc 0.777 0.223 0.317
N 0.049 0.951 0.853
N 0.283 0.717 0.445
N 0.318 0.682 0.178
N 0.374 0.626 0.811
N 0.489 0.511 0.589
N 0.511 0.489 0.089
N 0.626 0.374 0.311
N 0.682 0.318 0.678
N 0.717 0.283 0.945
N 0.951 0.049 0.353